Entry 1:
Here is a relaxed structure of Mn2In from the Alexandria database. Energies are from PBE.

```
Mn2In
1.0
-3.175 -4.211 0.341
-1.766 -3.773 3.252
-5.200 1.794 2.246
In Mn
2 4
Cartesian
-4.694 -6.537 3.257
-5.446 0.348 2.583
-4.017 -3.537 2.477
-3.005 -0.465 1.524
-7.136 -5.725 4.316
-6.124 -2.652 3.363
```

Summary:
- Calculated formation energy: 0.325 eV/atom
- VASP energy: -6.7004 eV/atom
- M_tot: 1.5514 μB/atom
- Symmetry: C2/m (12)

=====

Entry 2:
Here is a relaxed structure of MnIn3 from the Alexandria database. Energies are from PBE.

```
MnIn3
1.0
5.370 0.032 0.000
-1.861 5.037 0.000
0.000 0.000 3.355
In Mn
3 1
Cartesian
1.755 2.535 0.000
-0.930 2.519 1.678
2.685 0.016 1.678
0.000 0.000 0.000
```

Summary:
- Calculated formation energy: 0.242 eV/atom
- VASP energy: -4.1039 eV/atom
- M_tot: 1.0176 μB/atom
- Symmetry: Cmmm (65)

=====

Entry 3:
Here is a relaxed structure of Mn3In5 from the Alexandria database. Energies are from PBE.

```
Mn3In5
1.0
8.589 0.548 -0.268
-6.163 4.677 -0.095
-1.530 -3.011 7.609
In Mn
10 6
Cartesian
-3.352 2.174 3.528
4.815 -1.459 6.499
2.056 1.694 5.220
-1.216 -0.306 5.082
2.115 2.564 2.210
-3.911 3.617 0.739
-0.678 3.419 1.059
4.228 0.037 3.707
-1.205 0.533 2.031
1.570 -1.205 6.143
1.191 -0.083 3.298
-3.473 0.993 6.279
0.746 1.247 0.086
0.222 0.944 7.242
4.310 1.207 0.950
-0.307 2.326 3.899
```

Summary:
- Calculated formation energy: 0.248 eV/atom
- VASP energy: -4.9022 eV/atom
- M_tot: 1.2082 μB/atom
- Symmetry: P1 (1)

=====

Entry 4:
Here is a relaxed structure of Mn2In from the Alexandria database. Energies are from PBE.

```
Mn2In
1.0
1.915 -6.283 0.000
1.915 6.283 0.000
0.000 0.000 4.073
In Mn
2 4
Cartesian
1.915 5.116 1.018
1.915 -5.116 3.055
1.915 -3.126 1.018
1.915 1.105 1.018
1.915 3.126 3.055
1.915 -1.105 3.055
```

Summary:
- Calculated formation energy: 0.282 eV/atom
- VASP energy: -6.7444 eV/atom
- M_tot: 2.1518 μB/atom
- Symmetry: Cmcm (63)

=====

Entry 5:
Here is a relaxed structure of MnIn8 from the Alexandria database. Energies are from PBE.

```
MnIn8
1.0
-5.009 5.009 2.260
5.009 -5.009 2.260
5.009 5.009 -2.260
In Mn
8 1
Cartesian
3.265 0.000 0.000
1.592 1.592 2.260
3.418 3.418 0.000
0.000 3.265 0.000
1.592 -1.592 2.260
-1.592 1.592 2.260
0.000 6.754 0.000
6.754 0.000 0.000
0.000 0.000 0.000
```

Summary:
- Calculated formation energy: 0.141 eV/atom
- VASP energy: -3.3124 eV/atom
- M_tot: 0.4652 μB/atom
- Symmetry: I4/mmm (139)

=====

Entry 6:
Here is a relaxed structure of MnIn3 from the Alexandria database. Energies are from PBE.

```
MnIn3
1.0
-2.936 1.146 -0.304
-0.977 -2.799 -1.110
-1.907 -2.662 8.393
In Mn
3 1
Cartesian
-0.087 -0.122 0.384
-3.387 -2.823 5.588
-0.866 -1.209 3.812
-2.433 -1.492 1.392
```

Summary:
- Calculated formation energy: 0.164 eV/atom
- VASP energy: -4.1827 eV/atom
- M_tot: 0.9129 μB/atom
- Symmetry: P4/mmm (123)

=====

Entry 7:
Here is a relaxed structure of Mn3In4 from the Alexandria database. Energies are from PBE.

```
Mn3In4
1.0
1.265 1.833 4.929
-4.137 -3.427 -0.632
3.306 -4.116 0.682
Mn In
3 4
Cartesian
-1.436 -0.797 2.149
0.632 0.916 2.464
-2.068 -1.713 -0.316
2.488 -3.098 0.513
-0.683 -3.732 1.563
1.117 -1.978 3.416
0.818 -1.018 0.169
```

Summary:
- Calculated formation energy: 0.287 eV/atom
- VASP energy: -5.2074 eV/atom
- M_tot: 1.3367 μB/atom
- Symmetry: P6/mmm (191)

=====

Entry 8:
Here is a relaxed structure of MnIn2Mo from the Alexandria database. Energies are from PBE.

```
MnIn2Mo
1.0
5.368 0.301 0.000
2.100 4.950 0.000
-3.734 -2.625 2.841
In Mn Mo
2 1 1
Cartesian
0.000 0.000 0.000
1.050 2.475 1.421
3.734 2.625 0.000
2.684 0.150 1.421
```

Summary:
- Calculated formation energy: 0.381 eV/atom
- E above lowest polymorph: 136.6 meV/atom
- VASP energy: -5.9887 eV/atom
- M_tot: 0.9893 μB/atom
- Symmetry: I-4m2 (119)

=====

Entry 9:
Here is a relaxed structure of MnIn2Mo from the Alexandria database. Energies are from PBE.

```
MnIn2Mo
1.0
-3.423 1.859 2.613
-4.073 -2.273 0.492
-1.121 -1.939 4.121
Mo In Mn
1 2 1
Cartesian
-2.154 -0.588 1.807
0.000 0.000 0.000
-6.462 -1.764 5.420
-4.308 -1.176 3.614
```

Summary:
- Calculated formation energy: 0.522 eV/atom
- E above lowest polymorph: 278.0 meV/atom
- VASP energy: -5.8473 eV/atom
- M_tot: 0.2672 μB/atom
- Symmetry: F-43m (216)

=====

Entry 10:
Here is a relaxed structure of MnInMo2 from the Alexandria database. Energies are from PBE.

```
MnInMo2
1.0
-2.320 2.590 3.250
-2.979 -3.164 1.941
4.708 -0.409 -0.572
Mo Mn In
2 1 1
Cartesian
-0.461 -1.930 1.982
0.000 0.000 0.000
-0.131 0.947 2.637
-2.650 -0.287 2.596
```

Summary:
- Calculated formation energy: 0.312 eV/atom
- VASP energy: -8.0809 eV/atom
- M_tot: 0.7799 μB/atom
- Symmetry: I-4m2 (119)

=====

Entry 11:
Here is a relaxed structure of MnIn2Mo2 from the Alexandria database. Energies are from PBE.

```
MnIn2Mo2
1.0
-1.611 5.762 2.148
-6.003 -1.955 0.743
0.968 -1.335 4.307
Mo Mn In
4 2 4
Cartesian
-2.382 0.112 0.570
-5.233 3.695 2.321
-5.734 0.388 1.409
-1.880 3.418 1.482
0.000 0.000 0.000
-3.807 1.903 1.445
-2.823 3.464 4.177
-3.824 -0.992 3.021
-1.075 0.890 2.987
-5.571 1.582 4.212
```

Summary:
- Calculated formation energy: 0.500 eV/atom
- E above lowest polymorph: 0.0 meV/atom
- VASP energy: -6.7620 eV/atom
- M_tot: 0.2490 μB/atom
- Symmetry: P4/mbm (127)

=====

Entry 12:
Here is a relaxed structure of MnIn2Mo from the Alexandria database. Energies are from PBE.

```
MnIn2Mo
1.0
-2.336 -3.892 -1.503
2.428 -0.873 -1.513
1.635 -2.565 4.102
In Mn Mo
2 1 1
Cartesian
-0.368 -2.834 0.304
1.842 -2.524 3.672
2.289 -1.757 0.992
1.630 -4.501 1.515
```

Summary:
- Calculated formation energy: 0.344 eV/atom
- E above lowest polymorph: 100.4 meV/atom
- VASP energy: -6.0249 eV/atom
- M_tot: 0.8483 μB/atom
- Symmetry: Pmm2 (25)

=====

Entry 13:
Here is a relaxed structure of MnIn2Mo from the Alexandria database. Energies are from PBE.

```
MnIn2Mo
1.0
5.629 0.000 0.017
4.813 2.919 0.017
1.801 0.503 4.530
In Mn Mo
2 1 1
Cartesian
10.359 2.896 0.293
9.249 2.586 3.180
6.453 1.804 2.377
2.745 0.767 1.030
```

Summary:
- Calculated formation energy: 0.324 eV/atom
- E above lowest polymorph: 79.5 meV/atom
- VASP energy: -6.0458 eV/atom
- M_tot: 0.7487 μB/atom
- Symmetry: Cm (8)

=====

Entry 14:
Here is a relaxed structure of MnIn2Mo from the Alexandria database. Energies are from PBE.

```
MnIn2Mo
1.0
-1.327 -4.713 -0.863
0.604 -3.929 -2.987
3.910 -2.562 2.609
In Mo Mn
2 1 1
Cartesian
0.003 -0.011 -0.001
1.590 -5.591 -0.619
0.797 -2.801 -0.310
2.390 -8.404 -0.930
```

Summary:
- Calculated formation energy: 0.404 eV/atom
- E above lowest polymorph: 159.9 meV/atom
- VASP energy: -5.9654 eV/atom
- M_tot: 0.8961 μB/atom
- Symmetry: C2/m (12)

=====

Entry 15:
Here is a relaxed structure of MnInMo2 from the Alexandria database. Energies are from PBE.

```
MnInMo2
1.0
-4.518 2.493 -0.448
-4.618 -0.265 -2.331
-3.423 -1.602 2.529
Mo In Mn
2 1 1
Cartesian
-3.250 0.231 -0.166
-9.114 2.214 -2.759
-6.261 0.301 -0.108
-9.347 0.421 -0.120
```

Summary:
- Calculated formation energy: 0.275 eV/atom
- VASP energy: -8.1179 eV/atom
- M_tot: 0.6826 μB/atom
- Symmetry: Imm2 (44)

=====

Entry 16:
Here is a relaxed structure of MnIn2Mo from the Alexandria database. Energies are from PBE.

```
MnIn2Mo
1.0
-0.900 1.986 -2.087
-0.143 -2.214 -2.046
-7.730 -1.375 2.027
Mo In Mn
1 2 1
Cartesian
-5.912 -1.073 -0.653
-7.397 -1.315 1.939
-2.896 -0.537 -1.444
-4.162 -0.740 1.091
```

Summary:
- Calculated formation energy: 0.244 eV/atom
- E above lowest polymorph: 0.0 meV/atom
- VASP energy: -6.1253 eV/atom
- M_tot: 0.0639 μB/atom
- Symmetry: P4mm (99)

=====

Entry 17:
Here is a relaxed structure of MnIn2Mo from the Alexandria database. Energies are from PBE.

```
MnIn2Mo
1.0
-0.988 -1.978 -1.911
0.290 -2.091 2.021
-7.865 1.421 2.597
In Mn Mo
2 1 1
Cartesian
-3.860 0.697 1.275
-0.072 0.013 0.024
-2.316 -1.679 0.705
-6.248 -0.969 2.003
```

Summary:
- Calculated formation energy: 0.360 eV/atom
- E above lowest polymorph: 115.8 meV/atom
- VASP energy: -6.0095 eV/atom
- M_tot: 0.8343 μB/atom
- Symmetry: P4/mmm (123)

=====

Entry 18:
Here is a relaxed structure of MnInMo2 from the Alexandria database. Energies are from PBE.

```
MnInMo2
1.0
-1.429 2.023 1.424
-2.468 -1.069 -0.964
-0.406 -4.653 6.201
Mn In Mo
1 1 2
Cartesian
-2.253 -3.013 4.881
-2.050 -0.686 1.781
-0.389 -4.451 5.931
-0.221 -2.529 3.370
```

Summary:
- Calculated formation energy: 0.242 eV/atom
- VASP energy: -8.1506 eV/atom
- M_tot: 0.0000 μB/atom
- Symmetry: P4/mmm (123)

=====

Entry 19:
Here is a relaxed structure of MnInMo2 from the Alexandria database. Energies are from PBE.

```
MnInMo2
1.0
-2.840 0.798 -1.506
-1.679 -0.812 2.736
0.531 5.682 2.012
Mo In Mn
2 1 1
Cartesian
0.504 5.392 1.910
0.292 3.131 1.109
-2.127 1.414 1.118
-1.862 4.255 2.124
```

Summary:
- Calculated formation energy: 0.279 eV/atom
- VASP energy: -8.1140 eV/atom
- M_tot: 0.4520 μB/atom
- Symmetry: P4/mmm (123)

=====

Entry 20:
Here is a relaxed structure of Mn2InMo2 from the Alexandria database. Energies are from PBE.

```
Mn2InMo2
1.0
-0.031 -5.607 -4.533
6.320 -2.204 2.683
-1.394 -1.591 1.977
Mo In Mn
4 2 4
Cartesian
3.473 -3.152 2.033
4.587 -6.350 0.245
1.422 -6.250 -1.906
0.308 -3.052 -0.119
3.144 -3.906 -0.925
0.000 0.000 0.000
5.492 -3.999 0.655
0.797 -3.813 -2.506
2.339 -1.542 0.409
3.949 -6.270 -2.260
```

Summary:
- Calculated formation energy: 0.289 eV/atom
- VASP energy: -8.2586 eV/atom
- M_tot: 0.1928 μB/atom
- Symmetry: P4/mbm (127)

=====

Entry 21:
Here is a relaxed structure of MnInMo from the Alexandria database. Energies are from PBE.

```
MnInMo
1.0
4.273 0.000 0.000
2.137 3.701 0.000
2.137 1.234 3.489
In Mo Mn
1 1 1
Cartesian
4.273 2.467 1.745
0.000 0.000 0.000
6.410 3.701 2.617
```

Summary:
- Calculated formation energy: 0.503 eV/atom
- VASP energy: -7.0763 eV/atom
- M_tot: 0.6358 μB/atom
- Symmetry: F-43m (216)

=====

Entry 22:
Here is a relaxed structure of MnIn2Mo from the Alexandria database. Energies are from PBE.

```
MnIn2Mo
1.0
4.332 -1.473 0.383
1.045 -3.299 3.018
1.140 -4.193 -1.485
In Mn Mo
2 1 1
Cartesian
4.888 -6.724 1.437
1.629 -2.241 0.479
0.000 0.000 0.000
3.258 -4.483 0.958
```

Summary:
- Calculated formation energy: 0.663 eV/atom
- E above lowest polymorph: 419.4 meV/atom
- VASP energy: -5.7059 eV/atom
- M_tot: 0.0015 μB/atom
- Symmetry: Fm-3m (225)

=====

Entry 23:
Here is a relaxed structure of MnInMo2 from the Alexandria database. Energies are from PBE.

```
MnInMo2
1.0
4.419 0.000 0.000
0.000 3.843 0.000
0.000 0.000 3.843
In Mo Mn
1 2 1
Cartesian
2.209 1.921 0.000
0.000 0.000 0.000
0.000 1.921 1.921
2.209 0.000 1.921
```

Summary:
- Calculated formation energy: 0.266 eV/atom
- VASP energy: -8.1267 eV/atom
- M_tot: 0.7699 μB/atom
- Symmetry: P4/mmm (123)

=====

Entry 24:
Here is a relaxed structure of MnInMo2 from the Alexandria database. Energies are from PBE.

```
MnInMo2
1.0
-1.309 4.432 -5.589
-6.333 -3.335 -1.162
-5.015 2.249 -1.747
Mo Mn In
4 2 2
Cartesian
-2.773 2.608 -3.688
-10.010 2.877 -7.137
-5.466 -0.662 -2.248
-7.065 1.867 -3.923
-3.821 0.548 -3.375
-7.585 -0.269 -3.142
-5.072 3.614 -5.356
0.000 0.000 0.000
```

Summary:
- Calculated formation energy: 0.627 eV/atom
- VASP energy: -7.7651 eV/atom
- M_tot: 0.0000 μB/atom
- Symmetry: I-42d (122)

=====

Entry 25:
Here is a relaxed structure of MnInMo4 from the Alexandria database. Energies are from PBE.

```
MnInMo4
1.0
0.000 3.721 3.721
3.721 0.000 3.721
3.721 3.721 0.000
Mo In Mn
4 1 1
Cartesian
4.652 4.652 4.652
2.790 4.652 2.790
2.790 2.790 4.652
4.652 2.790 2.790
1.861 1.861 1.861
0.000 0.000 0.000
```

Summary:
- Calculated formation energy: 0.414 eV/atom
- VASP energy: -8.7915 eV/atom
- M_tot: 0.3626 μB/atom
- Symmetry: F-43m (216)

=====

Entry 26:
Here is a relaxed structure of MnInMo2 from the Alexandria database. Energies are from PBE.

```
MnInMo2
1.0
4.533 0.000 0.000
2.266 3.926 0.000
2.266 1.309 3.701
Mn Mo In
1 2 1
Cartesian
2.266 1.309 0.925
6.799 3.926 2.776
0.000 0.000 0.000
4.533 2.617 1.851
```

Summary:
- Calculated formation energy: 0.328 eV/atom
- VASP energy: -8.0647 eV/atom
- M_tot: 0.7981 μB/atom
- Symmetry: F-43m (216)

=====

Entry 27:
Here is a relaxed structure of MnIn2Mo from the Alexandria database. Energies are from PBE.

```
MnIn2Mo
1.0
7.427 0.000 0.000
0.000 7.427 0.000
3.714 3.714 2.878
Mo In Mn
2 4 2
Cartesian
7.427 3.714 1.439
0.000 0.000 0.000
5.570 5.662 2.158
9.284 9.193 2.158
1.948 5.570 0.719
5.479 1.857 0.719
3.714 3.714 0.000
3.714 7.427 1.439
```

Summary:
- Calculated formation energy: 0.727 eV/atom
- E above lowest polymorph: 482.7 meV/atom
- VASP energy: -5.6426 eV/atom
- M_tot: 0.8194 μB/atom
- Symmetry: I-42d (122)

=====

Entry 28:
Here is a relaxed structure of MnInMo2 from the Alexandria database. Energies are from PBE.

```
MnInMo2
1.0
-3.311 1.456 3.694
-1.777 -3.321 -3.541
0.828 -2.129 1.581
Mo Mn In
2 1 1
Cartesian
0.000 0.000 0.000
-2.544 -0.932 0.076
-0.475 -2.725 -0.980
-1.242 -0.336 2.638
```

Summary:
- Calculated formation energy: 0.394 eV/atom
- VASP energy: -7.9982 eV/atom
- M_tot: 0.8319 μB/atom
- Symmetry: Cmmm (65)